[1]
DFT (GGA-PBEsol) results for a relaxed LiMnP4H4O14 crystal.

```
LiMnP4H4O14
1.0
5.2531 0.0000 0.0000
2.3952 6.4718 0.0000
1.3644 -0.3350 7.5631
Li Mn P H O
1 1 4 4 14
Direct
0.0000 0.0000 0.0000
0.5000 0.5000 0.0000
0.0369 0.3568 0.2241
0.4287 0.2314 0.6938
0.5713 0.7686 0.3062
0.9631 0.6432 0.7759
0.1251 0.7987 0.5544
0.3692 0.9431 0.6401
0.6308 0.0569 0.3599
0.8749 0.2013 0.4456
0.0636 0.2025 0.3746
0.0889 0.6975 0.9227
0.1616 0.4264 0.6817
0.3191 0.0511 0.7457
0.3217 0.3722 0.1721
0.3952 0.8066 0.4889
0.4321 0.7267 0.1611
0.5679 0.2733 0.8389
0.6048 0.1934 0.5111
0.6783 0.6278 0.8279
0.6809 0.9489 0.2543
0.8384 0.5736 0.3183
0.9111 0.3025 0.0773
0.9364 0.7975 0.6254
```

Calculated values
- calculated density (Mg/m³) = 2.67
- E_tot (Ry/atom) = -0.5096
- space-group type = P-1, No. 2



[2]
DFT (GGA-PBEsol) results for a relaxed Hg2WCN crystal.

```
Hg2WCN
1.0
5.3433 0.0000 0.0000
0.0000 5.3433 0.0000
0.0000 0.0000 3.9161
Hg W C N
2 1 1 1
Direct
0.0000 0.5000 0.0000
0.5000 0.0000 0.0000
0.0000 0.0000 0.0000
0.0000 0.0000 0.5000
0.5000 0.5000 0.5000
```

Calculated values
- calculated density (Mg/m³) = 9.07
- formation energy without anion corrections (meV per atom) = 2063
- space-group type = P4/mmm, No. 123